(1)
Material: CaMn4Se
Method: DFT, PBE
State: relaxed

Summary:
total magnetic moment = 1.9142 μB/atom
SG = F-43m, No. 216
raw formation energy = 0.482 eV per atom
crystal system = cubic

a = 5.2049 Å, b = 5.2049 Å, c = 5.2049 Å
α = 60.00°, β = 60.00°, γ = 60.00°
With the nearest neighbours (Å) after each atom.
Fractional coordinates of all 6 atoms:
1 Ca 0.0000 0.0000 0.0000  12 Mn 3.05, 4 Se 3.19
2 Se 0.7500 0.7500 0.7500  12 Mn 3.06, 4 Ca 3.19
3 Mn 0.3732 0.3732 0.3732  6 Mn 2.56-2.64
4 Mn 0.3732 0.3732 0.8805  6 Mn 2.56-2.64
5 Mn 0.3732 0.8805 0.3732  6 Mn 2.56-2.64
6 Mn 0.8805 0.3732 0.3732  6 Mn 2.56-2.64



(2)
Material: Re2NiCl2
Method: DFT, PBE
State: relaxed

Summary:
total magnetic moment = 0.0000 μB/atom
SG = P4/mbm, No. 127
raw formation energy = 0.633 eV per atom
offset from the most stable computed form = 0.000 eV/atom
crystal system = tetragonal

a = 6.3322 Å, b = 6.3322 Å, c = 4.5607 Å
α = 90.00°, β = 90.00°, γ = 90.00°
With the nearest neighbours (Å) after each atom.
Fractional coordinates of all 10 atoms:
1 Re 0.1291 0.3709 0.0000  1 Re 2.31, 2 Cl 2.34, 2 Ni 2.49
2 Re 0.8709 0.6291 0.0000  1 Re 2.31, 2 Cl 2.34, 2 Ni 2.49
3 Re 0.3709 0.8709 0.0000  1 Re 2.31, 2 Cl 2.34, 2 Ni 2.49
4 Re 0.6291 0.1291 0.0000  1 Re 2.31, 2 Cl 2.34, 2 Ni 2.49
5 Ni 0.0000 0.0000 0.0000  4 Re 2.49
6 Ni 0.5000 0.5000 0.0000  4 Re 2.49
7 Cl 0.8131 0.6869 0.5000  2 Re 2.34
8 Cl 0.1869 0.3131 0.5000  2 Re 2.34
9 Cl 0.6869 0.1869 0.5000  2 Re 2.34
10 Cl 0.3131 0.8131 0.5000  2 Re 2.34



(3)
Material: SrBr
Method: DFT, PBE
State: relaxed

Summary:
total magnetic moment = 0.0000 μB/atom
SG = Fddd, No. 70
raw formation energy = -1.433 eV per atom
crystal system = orthorhombic

a = 11.1452 Å, b = 13.1741 Å, c = 9.6048 Å
α = 90.00°, β = 90.00°, γ = 90.00°
With the nearest neighbours (Å) after each atom.
Fractional coordinates of all 32 atoms:
1 Sr 0.7500 0.2500 0.0203  4 Br 3.12-3.22
2 Sr 0.0000 0.0000 0.2297  4 Br 3.12-3.22
3 Sr 0.0000 0.5000 0.2703  4 Br 3.12-3.22
4 Sr 0.0000 0.0000 0.7703  4 Br 3.12-3.22
5 Sr 0.2500 0.7500 0.0203  4 Br 3.12-3.22
6 Sr 0.5000 0.0000 0.2703  4 Br 3.12-3.22
7 Sr 0.7500 0.7500 0.9797  4 Br 3.12-3.22
8 Sr 0.7500 0.7500 0.5203  4 Br 3.12-3.22
9 Sr 0.5000 0.5000 0.2297  4 Br 3.12-3.22
10 Sr 0.2500 0.2500 0.5203  4 Br 3.12-3.22
11 Sr 0.2500 0.7500 0.4797  4 Br 3.12-3.22
12 Sr 0.0000 0.5000 0.7297  4 Br 3.12-3.22
13 Sr 0.7500 0.2500 0.4797  4 Br 3.12-3.22
14 Sr 0.5000 0.5000 0.7703  4 Br 3.12-3.22
15 Sr 0.2500 0.2500 0.9797  4 Br 3.12-3.22
16 Sr 0.5000 0.0000 0.7297  4 Br 3.12-3.22
17 Br 0.2500 0.6057 0.7500  4 Sr 3.12-3.22
18 Br 0.5000 0.6443 0.5000  4 Sr 3.12-3.22
19 Br 0.2500 0.8943 0.7500  4 Sr 3.12-3.22
20 Br 0.7500 0.8943 0.2500  4 Sr 3.12-3.22
21 Br 0.7500 0.1057 0.7500  4 Sr 3.12-3.22
22 Br 0.7500 0.3943 0.7500  4 Sr 3.12-3.22
23 Br 0.5000 0.1443 0.0000  4 Sr 3.12-3.22
24 Br 0.2500 0.3943 0.2500  4 Sr 3.12-3.22
25 Br 0.2500 0.1057 0.2500  4 Sr 3.12-3.22
26 Br 0.0000 0.6443 0.0000  4 Sr 3.12-3.22
27 Br 0.7500 0.6057 0.2500  4 Sr 3.12-3.22
28 Br 0.0000 0.3557 0.0000  4 Sr 3.12-3.22
29 Br 0.5000 0.8557 0.0000  4 Sr 3.12-3.22
30 Br 0.0000 0.1443 0.5000  4 Sr 3.12-3.22
31 Br 0.5000 0.3557 0.5000  4 Sr 3.12-3.22
32 Br 0.0000 0.8557 0.5000  4 Sr 3.12-3.22